Record 1
! SrCuNi2 | the Alexandria database | PBE | relaxed; values from VASP
! magnetization	0.00	Bohr magnetons per cell
! total energy	-4.04	eV per atom
! formation energy	0.2931	eV/atom
&SYSTEM
  ibrav = 0, nat = 4, ntyp = 3
/
ATOMIC_SPECIES
Sr 87.62 Sr.upf
Cu 63.55 Cu.upf
Ni 58.69 Ni.upf
ATOMIC_POSITIONS crystal
Sr 0.0000 0.0000 0.0000
Cu 0.0000 0.0000 0.5000
Ni 0.5000 0.5000 0.3218
Ni 0.5000 0.5000 0.6782
CELL_PARAMETERS angstrom
3.1658 0.0000 0.0000
0.0000 3.1658 0.0000
0.0000 0.0000 6.6523

***

Record 2
! Ac2Nd2Te2Se3 | the Alexandria database | PBE | relaxed; values from VASP
! magnetization	0.00	Bohr magnetons per cell
! total energy	-5.37	eV per atom
! raw formation energy	-1534.8	meV/atom
&SYSTEM
  ibrav = 0, nat = 9, ntyp = 4
/
ATOMIC_SPECIES
Ac 227.00 Ac.upf
Nd 144.24 Nd.upf
Te 127.60 Te.upf
Se 78.96 Se.upf
ATOMIC_POSITIONS crystal
Ac 0.1920 0.1920 0.0000
Ac 0.8080 0.8080 0.0000
Nd 0.0000 0.5000 0.5000
Nd 0.5000 0.0000 0.5000
Te 0.3960 0.3960 0.0000
Te 0.6040 0.6040 0.0000
Se 0.0000 0.0000 0.0000
Se 0.2500 0.7500 0.5000
Se 0.7500 0.2500 0.5000
CELL_PARAMETERS angstrom
-2.9180 2.9180 8.4584
2.9180 -2.9180 8.4584
2.9180 2.9180 -8.4584

***

Record 3
! MnBe3P | the Alexandria database | PBE | relaxed; values from VASP
! magnetization	0.46	Bohr magnetons per cell
! total energy	-3.96	eV per atom
! formation energy	1.1872	eV/atom
&SYSTEM
  ibrav = 0, nat = 5, ntyp = 3
/
ATOMIC_SPECIES
Mn 54.94 Mn.upf
Be 9.01 Be.upf
P 30.97 P.upf
ATOMIC_POSITIONS crystal
Mn 0.0000 0.0000 0.0000
Be 0.0000 0.0000 0.5000
Be 0.0000 0.5000 0.0000
Be 0.5000 0.0000 0.0000
P 0.5000 0.5000 0.5000
CELL_PARAMETERS angstrom
3.9988 0.0000 0.0000
0.0000 3.9988 0.0000
0.0000 0.0000 3.9988

***

Record 4
! Li2SmPuGe2 | the Alexandria database | PBE | relaxed; values from VASP
! magnetization	5.13	Bohr magnetons per cell
! total energy	-5.83	eV per atom
! formation energy	-0.4781	eV/atom
&SYSTEM
  ibrav = 0, nat = 6, ntyp = 4
/
ATOMIC_SPECIES
Li 6.94 Li.upf
Sm 150.36 Sm.upf
Pu 244.00 Pu.upf
Ge 72.64 Ge.upf
ATOMIC_POSITIONS crystal
Li 0.3333 0.6667 0.2638
Li 0.6667 0.3333 0.7362
Sm 0.0000 0.0000 0.0000
Pu 0.0000 0.0000 0.5000
Ge 0.3333 0.6667 0.7379
Ge 0.6667 0.3333 0.2621
CELL_PARAMETERS angstrom
4.4807 0.0000 0.0000
-2.2404 3.8804 0.0000
0.0000 0.0000 7.2309

***

Record 5
! Cr2InAg | the Alexandria database | PBE | relaxed; values from VASP
! magnetization	1.40	Bohr magnetons per cell
! total energy	-5.56	eV per atom
! formation energy	0.6501	eV/atom
&SYSTEM
  ibrav = 0, nat = 4, ntyp = 3
/
ATOMIC_SPECIES
Cr 52.00 Cr.upf
In 114.82 In.upf
Ag 107.87 Ag.upf
ATOMIC_POSITIONS crystal
Cr 0.0109 0.0000 0.1875
Cr 0.9891 0.0000 0.8125
In 0.5000 0.5000 0.0000
Ag 0.5000 0.5000 0.5000
CELL_PARAMETERS angstrom
2.9071 0.0000 0.0000
0.0000 4.4478 0.0000
-0.8879 0.0000 5.2477

***

Record 6
! TiZn4Au | the Alexandria database | PBE | relaxed; values from VASP
! magnetization	0.00	Bohr magnetons per cell
! total energy	-2.81	eV per atom
! formation energy	-0.1010	eV/atom
&SYSTEM
  ibrav = 0, nat = 12, ntyp = 3
/
ATOMIC_SPECIES
Ti 47.87 Ti.upf
Zn 65.41 Zn.upf
Au 196.97 Au.upf
ATOMIC_POSITIONS crystal
Ti 0.0089 0.2500 0.0531
Ti 0.9911 0.7500 0.9469
Zn 0.0407 0.7500 0.6158
Zn 0.0922 0.7500 0.2658
Zn 0.4472 0.0104 0.8432
Zn 0.4472 0.4896 0.8432
Zn 0.5528 0.5104 0.1568
Zn 0.5528 0.9896 0.1568
Zn 0.9078 0.2500 0.7342
Zn 0.9593 0.2500 0.3842
Au 0.5000 0.0000 0.5000
Au 0.5000 0.5000 0.5000
CELL_PARAMETERS angstrom
4.3394 0.0000 0.0000
0.0000 5.3950 0.0000
-1.7333 0.0000 8.2791

***

Record 7
! Sr2MgPPb | the Alexandria database | PBE | relaxed; values from VASP
! magnetization	0.00	Bohr magnetons per cell
! total energy	-3.39	eV per atom
! formation energy	-0.5725	eV/atom
&SYSTEM
  ibrav = 0, nat = 5, ntyp = 4
/
ATOMIC_SPECIES
Sr 87.62 Sr.upf
Mg 24.30 Mg.upf
P 30.97 P.upf
Pb 207.20 Pb.upf
ATOMIC_POSITIONS crystal
Sr 0.0000 0.5000 0.0000
Sr 0.5000 0.0000 0.0000
Mg 0.0000 0.0000 0.5000
P 0.0000 0.0000 0.0000
Pb 0.5000 0.5000 0.5000
CELL_PARAMETERS angstrom
5.9274 0.0000 0.0000
0.0000 5.9274 0.0000
0.0000 0.0000 4.7745

***

Record 8
! CeTiRh2 | the Alexandria database | PBE | relaxed; values from VASP
! magnetization	0.00	Bohr magnetons per cell
! total energy	-7.85	eV per atom
! formation energy	-0.7193	eV/atom
&SYSTEM
  ibrav = 0, nat = 4, ntyp = 3
/
ATOMIC_SPECIES
Ce 140.12 Ce.upf
Ti 47.87 Ti.upf
Rh 102.91 Rh.upf
ATOMIC_POSITIONS crystal
Ce 0.0000 0.0000 0.0000
Ti 0.0000 0.0000 0.5000
Rh 0.5000 0.5000 0.2972
Rh 0.5000 0.5000 0.7028
CELL_PARAMETERS angstrom
3.0539 0.0000 0.0000
0.0000 3.0539 0.0000
0.0000 0.0000 7.4879

***

Record 9
! NaCd2N | the Alexandria database | PBE | relaxed; values from VASP
! magnetization	0.00	Bohr magnetons per cell
! total energy	-2.40	eV per atom
! raw formation energy	463.9	meV/atom
&SYSTEM
  ibrav = 0, nat = 8, ntyp = 3
/
ATOMIC_SPECIES
Na 22.99 Na.upf
Cd 112.41 Cd.upf
N 14.01 N.upf
ATOMIC_POSITIONS crystal
Na 0.0000 0.0000 0.0000
Na 0.7500 0.2500 0.5000
Cd 0.2894 0.6250 0.1644
Cd 0.3750 0.5394 0.6644
Cd 0.4606 0.1250 0.8356
Cd 0.8750 0.7106 0.3356
N 0.2500 0.7500 0.5000
N 0.5000 0.5000 0.0000
CELL_PARAMETERS angstrom
-3.3715 3.3715 4.9227
3.3715 -3.3715 4.9227
3.3715 3.3715 -4.9227

***

Record 10
! NaBC2 | the Alexandria database | PBE | relaxed; values from VASP
! magnetization	0.00	Bohr magnetons per cell
! total energy	-5.72	eV per atom
! formation energy	0.8904	eV/atom
&SYSTEM
  ibrav = 0, nat = 8, ntyp = 3
/
ATOMIC_SPECIES
Na 22.99 Na.upf
B 10.81 B.upf
C 12.01 C.upf
ATOMIC_POSITIONS crystal
Na 0.3750 0.6250 0.7500
Na 0.6250 0.3750 0.2500
B 0.1250 0.8750 0.2500
B 0.8750 0.1250 0.7500
C 0.0000 0.0000 0.0000
C 0.0000 0.0000 0.5000
C 0.0000 0.5000 0.0000
C 0.5000 0.0000 0.5000
CELL_PARAMETERS angstrom
-1.9061 1.9061 5.2198
1.9061 -1.9061 5.2198
1.9061 1.9061 -5.2198

***

Record 11
! ErPaFeOs | the Alexandria database | PBE | relaxed; values from VASP
! magnetization	0.71	Bohr magnetons per cell
! total energy	-8.57	eV per atom
! formation energy	-0.1336	eV/atom
&SYSTEM
  ibrav = 0, nat = 4, ntyp = 4
/
ATOMIC_SPECIES
Er 167.26 Er.upf
Pa 231.04 Pa.upf
Fe 55.84 Fe.upf
Os 190.23 Os.upf
ATOMIC_POSITIONS crystal
Er 0.0000 0.0000 0.0000
Pa 0.5000 0.5000 0.5000
Fe 0.7500 0.7500 0.7500
Os 0.2500 0.2500 0.2500
CELL_PARAMETERS angstrom
0.0000 3.3861 3.3861
3.3861 0.0000 3.3861
3.3861 3.3861 0.0000

***

Record 12
! Ge2SI2 | the Alexandria database | PBE | relaxed; values from VASP
! magnetization	0.00	Bohr magnetons per cell
! total energy	-3.53	eV per atom
! raw formation energy	-234.0	meV/atom
&SYSTEM
  ibrav = 0, nat = 10, ntyp = 3
/
ATOMIC_SPECIES
Ge 72.64 Ge.upf
S 32.06 S.upf
I 126.90 I.upf
ATOMIC_POSITIONS crystal
Ge 0.0298 0.0298 0.3274
Ge 0.3072 0.3072 0.8832
Ge 0.6928 0.6928 0.1168
Ge 0.9702 0.9702 0.6726
S 0.1289 0.1289 0.6348
S 0.8711 0.8711 0.3652
I 0.1728 0.1728 0.0691
I 0.4381 0.4381 0.7086
I 0.5619 0.5619 0.2914
I 0.8272 0.8272 0.9309
CELL_PARAMETERS angstrom
6.8187 -3.0507 0.0000
6.8187 3.0507 0.0000
-4.7170 0.0000 8.1593